# Nd5Y6Sc

A geometry-optimized Nd5Y6Sc structure (PBE, Alexandria).

abc: 5.086 10.135 15.264
angles: 90.00 90.00 90.00
Space group Immm (No. 71)
Symmetry-distinct sites (fractional):
Nd: 0.000 0.000 0.000
Nd: 0.000 0.000 0.336
Nd: 0.000 0.500 0.334
Y: 0.000 0.245 0.500
Y: 0.000 0.253 0.165
Sc: 0.000 0.500 0.000

Properties
formation energy = 0.030 eV per atom


# ScMnSe

A geometry-optimized ScMnSe structure (PBE, Alexandria).

abc: 4.1081 4.1081 3.5298
angles: 90.00 90.00 120.00
Space group P-6m2 (No. 187)
Symmetry-distinct sites (fractional):
Sc: 0.0000 0.0000 0.0000
Mn: 0.3333 0.6667 0.5000
Se: 0.6667 0.3333 0.5000

Properties
offset from the most stable computed form = 0 meV per atom
energy relative to the elements, uncorrected = -0.52 eV per atom


# PmY3

A geometry-optimized PmY3 structure (PBE, Alexandria).

abc: 5.078 5.078 5.078
angles: 90.00 90.00 90.00
Space group Pm-3m (No. 221)
Symmetry-distinct sites (fractional):
Pm: 0.000 0.000 0.000
Y: 0.000 0.500 0.500

Properties
offset from the most stable computed form = 14 meV per atom
formation energy = 0.022 eV per atom


no.,energy (Ha/atom),spin magnetization (μB per cell)
1,-0.210,0.0
2,-0.252,2.4
3,-0.221,0.0